PrY5Se6 (PBE, optimized geometry); E_tot = -79.36 eV for the cell shown; M_tot = 0.0 Bohr magnetons per cell
1.0
-2.068 -5.594 -3.916
6.126 3.348 -1.473
1.912 -3.387 5.985
Pr Y Se
1 5 6
Cartesian
0.000 0.000 0.000
0.194 -5.862 -0.535
0.675 -2.601 -3.099
2.985 -2.817 0.297
3.383 0.355 -2.291
5.775 0.228 1.129
0.124 -2.988 -0.271
3.023 -5.726 0.024
2.484 -3.118 3.079
3.486 -2.516 -2.484
2.947 0.092 0.571
5.846 -2.645 0.866

AlTe3Mo (PBE, optimized geometry); E_tot = -19.58 eV for the cell shown; M_tot = 3.3 Bohr magnetons per cell
1.0
-3.819 -2.741 2.401
3.194 -4.192 0.293
1.755 1.665 4.692
Mo Te Al
1 3 1
Cartesian
0.565 -2.634 3.693
1.597 -2.096 0.147
0.877 0.832 2.346
-1.909 -1.371 1.201
0.000 0.000 0.000

Pr9TmMg2 (PBE, optimized geometry); DFT formation energy = -0.005 eV per atom; M_tot = 0.0 Bohr magnetons per cell
1.0
-2.239 4.546 -0.608
-1.892 -0.299 4.731
12.579 6.926 5.469
Pr Tm Mg
9 1 2
Cartesian
-2.065 2.123 2.062
2.144 4.441 3.891
6.305 6.732 5.701
1.005 3.443 0.620
5.170 5.736 2.431
9.335 8.029 4.241
1.179 1.020 3.289
5.344 3.313 5.100
9.509 5.606 6.911
0.000 0.000 0.000
4.232 2.330 1.840
8.347 4.595 3.629

Nd2NiRh (PBE, optimized geometry); DFT formation energy = -0.442 eV per atom; M_tot = 0.0 Bohr magnetons per cell
1.0
3.576 0.000 0.000
0.000 4.949 0.000
0.000 0.000 4.949
Rh Nd Ni
1 2 1
Cartesian
1.788 2.475 2.475
0.000 0.000 2.475
0.000 2.475 0.000
1.788 0.000 0.000

TbPm2ErN4 (PBE, optimized geometry); E_tot = -64.50 eV for the cell shown; M_tot = 0.0 Bohr magnetons per cell
1.0
-2.908 -1.960 0.478
2.885 -4.859 -2.368
0.898 0.148 6.064
Tb Pm Er N
1 2 1 4
Cartesian
-0.012 -3.410 -0.945
-1.005 -0.906 3.271
1.891 -2.356 1.848
0.000 0.000 0.000
-0.532 -2.135 1.116
1.406 -4.536 3.059
1.405 -1.107 4.006
2.378 -3.604 -0.310

NbIn2As2 (PBE, optimized geometry); DFT formation energy = 0.042 eV per atom; M_tot = 0.0 Bohr magnetons per cell
1.0
6.870 0.000 0.000
0.000 6.870 0.000
0.000 0.000 4.543
Nb As In
2 4 4
Cartesian
0.000 0.000 0.000
3.435 3.435 0.000
2.449 5.884 0.000
5.884 4.422 0.000
4.422 0.987 0.000
0.987 2.449 0.000
1.181 4.616 2.271
4.616 5.689 2.271
5.689 2.254 2.271
2.254 1.181 2.271

| no. | volume (Å³/atom) |
| --- | --- |
| 1 | 24.7 |
| 2 | 29.4 |
| 3 | 33.4 |
| 4 | 21.9 |
| 5 | 15.7 |
| 6 | 21.4 |